#one
The following is a DFT calculation (GGA-PBE) of a relaxed structure of K2HgBr2.

The structure in CIF format:
```
data_K2HgBr2
_space_group_name_H-M_alt 'I 4/m m m'
_space_group_IT_number 139
_space_group_name_Hall '-I 4 2'
_cell_length_a 6.2280
_cell_length_b 6.2280
_cell_length_c 12.7236
_cell_angle_alpha 90.00
_cell_angle_beta 90.00
_cell_angle_gamma 90.00
loop_
_atom_site_label
_atom_site_fract_x
_atom_site_fract_y
_atom_site_fract_z
K1 0.0000 0.5000 0.2500
Hg1 0.0000 0.0000 0.0000
Br1 0.0000 0.0000 0.3140
```

=====

#two
The following is a DFT calculation (GGA-PBE) of a relaxed structure of K2HgBr2.

The structure in CIF format:
```
data_K2HgBr2
_space_group_name_H-M_alt 'P 4/m b m'
_space_group_IT_number 127
_space_group_name_Hall '-P 4 2ab'
_cell_length_a 9.2437
_cell_length_b 9.2437
_cell_length_c 4.1622
_cell_angle_alpha 90.00
_cell_angle_beta 90.00
_cell_angle_gamma 90.00
loop_
_atom_site_label
_atom_site_fract_x
_atom_site_fract_y
_atom_site_fract_z
K1 0.1446 0.3554 0.0000
Hg1 0.0000 0.0000 0.0000
Br1 0.1540 0.6540 0.5000
```

=====

Stability summary - winner: #two; margin: 0.038 eV/atom.

=====

#one
The following is a DFT calculation (GGA-PBE) of a relaxed structure of La2HgBr.

The structure in CIF format:
```
data_La2HgBr
_space_group_name_H-M_alt 'F m -3 m'
_space_group_IT_number 225
_space_group_name_Hall '-F 4 2 3'
_cell_length_a 7.7693
_cell_length_b 7.7693
_cell_length_c 7.7693
_cell_angle_alpha 90.00
_cell_angle_beta 90.00
_cell_angle_gamma 90.00
loop_
_atom_site_label
_atom_site_fract_x
_atom_site_fract_y
_atom_site_fract_z
La1 0.2500 0.2500 0.2500
Hg1 0.0000 0.0000 0.0000
Br1 0.0000 0.0000 0.5000
```

=====

#two
The following is a DFT calculation (GGA-PBE) of a relaxed structure of La2HgBr.

The structure in CIF format:
```
data_La2HgBr
_space_group_name_H-M_alt 'P m m m'
_space_group_IT_number 47
_cell_length_a 3.8743
_cell_length_b 3.8886
_cell_length_c 8.6533
_cell_angle_alpha 90.00
_cell_angle_beta 90.00
_cell_angle_gamma 90.00
loop_
_space_group_symop_operation_xyz
'x,y,z'
'-x,-y,-z'
'-x,-y,z'
'x,y,-z'
'x,-y,-z'
'-x,y,z'
'-x,y,-z'
'x,-y,z'
loop_
_atom_site_label
_atom_site_fract_x
_atom_site_fract_y
_atom_site_fract_z
La1 0.0000 0.0000 0.2192
Hg1 0.5000 0.5000 0.0000
Br1 0.5000 0.0000 0.5000
```

=====

#three
The following is a DFT calculation (GGA-PBE) of a relaxed structure of La2HgBr.

The structure in CIF format:
```
data_La2HgBr
_space_group_name_H-M_alt 'R 3 m'
_space_group_IT_number 160
_space_group_name_Hall 'R 3 -2"'
_cell_length_a 3.9429
_cell_length_b 3.9429
_cell_length_c 31.6220
_cell_angle_alpha 90.00
_cell_angle_beta 90.00
_cell_angle_gamma 120.00
loop_
_atom_site_label
_atom_site_fract_x
_atom_site_fract_y
_atom_site_fract_z
La1 0.0000 0.0000 0.0000
La2 0.0000 0.0000 0.2403
Hg1 0.0000 0.0000 0.7432
Br1 0.0000 0.0000 0.5073
```

=====

#four
The following is a DFT calculation (GGA-PBE) of a relaxed structure of La2HgBr.

The structure in CIF format:
```
data_La2HgBr
_space_group_name_H-M_alt 'P 4/m m m'
_space_group_IT_number 123
_space_group_name_Hall '-P 4 2'
_cell_length_a 4.4445
_cell_length_b 4.4445
_cell_length_c 6.3740
_cell_angle_alpha 90.00
_cell_angle_beta 90.00
_cell_angle_gamma 90.00
loop_
_atom_site_label
_atom_site_fract_x
_atom_site_fract_y
_atom_site_fract_z
La1 0.0000 0.0000 0.0000
La2 0.5000 0.5000 0.5000
Hg1 0.0000 0.0000 0.5000
Br1 0.5000 0.5000 0.0000
```

=====

Stability summary - winner: #four; margin: 0.064 eV/atom.

=====

#one
The following is a DFT calculation (GGA-PBE) of a relaxed structure of La2HgBr.

The structure in CIF format:
```
data_La2HgBr
_space_group_name_H-M_alt 'P n m a'
_space_group_IT_number 62
_cell_length_a 22.5774
_cell_length_b 4.2326
_cell_length_c 5.2455
_cell_angle_alpha 90.00
_cell_angle_beta 90.00
_cell_angle_gamma 90.00
loop_
_space_group_symop_operation_xyz
'x,y,z'
'-x,-y,-z'
'-x+1/2,-y,z+1/2'
'x+1/2,y,-z+1/2'
'x+1/2,-y+1/2,-z+1/2'
'-x+1/2,y+1/2,z+1/2'
'-x,y+1/2,-z'
'x,-y+1/2,z'
loop_
_atom_site_label
_atom_site_fract_x
_atom_site_fract_y
_atom_site_fract_z
La1 0.0196 0.2500 0.2493
La2 0.1594 0.7500 0.2473
Hg1 0.1032 0.2500 0.7487
Br1 0.2356 0.7500 0.7470
```

=====

#two
The following is a DFT calculation (GGA-PBE) of a relaxed structure of La2HgBr.

The structure in CIF format:
```
data_La2HgBr
_space_group_name_H-M_alt 'F -4 3 m'
_space_group_IT_number 216
_space_group_name_Hall 'F -4 2 3'
_cell_length_a 7.7714
_cell_length_b 7.7714
_cell_length_c 7.7714
_cell_angle_alpha 90.00
_cell_angle_beta 90.00
_cell_angle_gamma 90.00
loop_
_atom_site_label
_atom_site_fract_x
_atom_site_fract_y
_atom_site_fract_z
La1 0.0000 0.0000 0.0000
La2 0.2500 0.2500 0.2500
Hg1 0.0000 0.0000 0.5000
Br1 0.2500 0.2500 0.7500
```

=====

#three
The following is a DFT calculation (GGA-PBE) of a relaxed structure of La2HgBr.

The structure in CIF format:
```
data_La2HgBr
_space_group_name_H-M_alt 'R 3 m'
_space_group_IT_number 160
_space_group_name_Hall 'R 3 -2"'
_cell_length_a 3.8917
_cell_length_b 3.8917
_cell_length_c 28.3249
_cell_angle_alpha 90.00
_cell_angle_beta 90.00
_cell_angle_gamma 120.00
loop_
_atom_site_label
_atom_site_fract_x
_atom_site_fract_y
_atom_site_fract_z
La1 0.0000 0.0000 0.0000
La2 0.0000 0.0000 0.1657
Hg1 0.0000 0.0000 0.5828
Br1 0.0000 0.0000 0.7493
```

=====

Stability summary - winner: #three; margin: 0.061 eV/atom.

=====

#one
The following is a DFT calculation (GGA-PBE) of a relaxed structure of La2HgBr.

The structure in CIF format:
```
data_La2HgBr
_space_group_name_H-M_alt 'C 1 2/m 1'
_space_group_IT_number 12
_cell_length_a 7.7737
_cell_length_b 4.4708
_cell_length_c 7.7212
_cell_angle_alpha 90.00
_cell_angle_beta 109.45
_cell_angle_gamma 90.00
loop_
_space_group_symop_operation_xyz
'x,y,z'
'-x,-y,-z'
'-x,y,-z'
'x,-y,z'
'x+1/2,y+1/2,z'
'-x+1/2,-y+1/2,-z'
'-x+1/2,y+1/2,-z'
'x+1/2,-y+1/2,z'
loop_
_atom_site_label
_atom_site_fract_x
_atom_site_fract_y
_atom_site_fract_z
La1 0.2475 0.0000 0.2425
Hg1 0.0000 0.0000 0.5000
Br1 0.0000 0.5000 0.0000
```

=====

#two
The following is a DFT calculation (GGA-PBE) of a relaxed structure of La2HgBr.

The structure in CIF format:
```
data_La2HgBr
_space_group_name_H-M_alt 'I -4 2 d'
_space_group_IT_number 122
_space_group_name_Hall 'I -4 2bw'
_cell_length_a 6.2309
_cell_length_b 6.2309
_cell_length_c 16.5066
_cell_angle_alpha 90.00
_cell_angle_beta 90.00
_cell_angle_gamma 90.00
loop_
_atom_site_label
_atom_site_fract_x
_atom_site_fract_y
_atom_site_fract_z
La1 0.2400 0.2500 0.1250
Hg1 0.0000 0.0000 0.5000
Br1 0.0000 0.0000 0.0000
```

=====

Stability summary - winner: #one; margin: 0.392 eV/atom.

=====

#one
The following is a DFT calculation (GGA-PBE) of a relaxed structure of La2HgBr.

The structure in CIF format:
```
data_La2HgBr
_space_group_name_H-M_alt 'I m m 2'
_space_group_IT_number 44
_cell_length_a 3.9423
_cell_length_b 4.0327
_cell_length_c 15.9700
_cell_angle_alpha 90.00
_cell_angle_beta 90.00
_cell_angle_gamma 90.00
loop_
_space_group_symop_operation_xyz
'x,y,z'
'-x,-y,z'
'-x,y,z'
'x,-y,z'
'x+1/2,y+1/2,z+1/2'
'-x+1/2,-y+1/2,z+1/2'
'-x+1/2,y+1/2,z+1/2'
'x+1/2,-y+1/2,z+1/2'
loop_
_atom_site_label
_atom_site_fract_x
_atom_site_fract_y
_atom_site_fract_z
La1 0.0000 0.0000 0.0000
La2 0.0000 0.5000 0.2457
Hg1 0.0000 0.0000 0.4029
Br1 0.0000 0.5000 0.6543
```

=====

#two
The following is a DFT calculation (GGA-PBE) of a relaxed structure of La2HgBr.

The structure in CIF format:
```
data_La2HgBr
_space_group_name_H-M_alt 'A m m 2'
_space_group_IT_number 38
_cell_length_a 5.2687
_cell_length_b 3.7298
_cell_length_c 12.2385
_cell_angle_alpha 90.00
_cell_angle_beta 90.00
_cell_angle_gamma 90.00
loop_
_space_group_symop_operation_xyz
'x,y,z'
'-x,-y,z'
'-x,y,z'
'x,-y,z'
'x,y+1/2,z+1/2'
'-x,-y+1/2,z+1/2'
'-x,y+1/2,z+1/2'
'x,-y+1/2,z+1/2'
loop_
_atom_site_label
_atom_site_fract_x
_atom_site_fract_y
_atom_site_fract_z
La1 0.0000 0.0000 0.0000
La2 0.5000 0.0000 0.2516
Hg1 0.0000 0.0000 0.7384
Br1 0.5000 0.0000 0.5029
```

=====

Stability summary - winner: #two; margin: 0.044 eV/atom.